DFT (GGA-PBE) results for an optimized crystal structure of BaCaRh.

Results
total magnetic moment: 0.00 μB/f.u.
final energy: -11.72 eV/cell
ΔE_f: -0.149 eV per atom
SG: I4mm (107)

a b c (Å): 7.651 7.651 3.695
angles (deg): 76.03 76.02 27.94
Fractional positions:
Ba1 0.043 0.043 0.957
Ca1 0.281 0.281 0.719
Rh1 0.676 0.676 0.324

DFT (GGA-PBE) results for an optimized crystal structure of BaCaRh4.

Results
total magnetic moment: 0.00 μB/f.u.
final energy: -34.53 eV/cell
ΔE_f: -0.200 eV per atom
SG: F-43m (216)

a b c (Å): 5.499 5.499 5.499
angles (deg): 60.00 60.00 60.00
Fractional positions:
Ba1 0.750 0.750 0.750
Rh1 0.374 0.374 0.374
Rh2 0.374 0.877 0.374
Rh3 0.877 0.374 0.374
Rh4 0.374 0.374 0.877
Ca1 0.000 0.000 0.000

DFT (GGA-PBE) results for an optimized crystal structure of BaCa2Rh.

Results
total magnetic moment: 0.00 μB/f.u.
final energy: -25.29 eV/cell
ΔE_f: 0.159 eV per atom
SG: I-42d (122)

a b c (Å): 8.207 8.207 8.243
angles (deg): 60.14 60.14 90.00
Fractional positions:
Ca1 0.377 0.125 0.250
Ca2 0.875 0.627 0.750
Ca3 0.373 0.625 0.250
Ca4 0.375 0.623 0.750
Rh1 0.500 0.500 0.000
Rh2 0.250 0.750 0.500
Ba1 0.000 0.000 0.000
Ba2 0.750 0.250 0.500

DFT (GGA-PBE) results for an optimized crystal structure of Ba2CaRh2.

Results
total magnetic moment: 0.00 μB/f.u.
final energy: -40.01 eV/cell
ΔE_f: 0.109 eV per atom
SG: P4/mbm (127)

a b c (Å): 9.084 9.084 3.489
angles (deg): 90.00 90.00 90.00
Fractional positions:
Rh1 0.175 0.675 0.500
Rh2 0.325 0.175 0.500
Rh3 0.825 0.325 0.500
Rh4 0.675 0.825 0.500
Ba1 0.368 0.868 0.000
Ba2 0.132 0.368 0.000
Ba3 0.868 0.632 0.000
Ba4 0.632 0.132 0.000
Ca1 0.000 0.000 0.000
Ca2 0.500 0.500 0.000

DFT (GGA-PBE) results for an optimized crystal structure of Ba2CaRh2.

Results
total magnetic moment: 0.00 μB/f.u.
final energy: -19.68 eV/cell
ΔE_f: 0.174 eV per atom
SG: I4/mmm (139)

a b c (Å): 5.031 5.031 7.064
angles (deg): 69.14 69.14 90.00
Fractional positions:
Rh1 0.605 0.605 0.790
Rh2 0.395 0.395 0.210
Ca1 0.000 0.000 0.000
Ba1 0.750 0.250 0.500
Ba2 0.250 0.750 0.500

DFT (GGA-PBE) results for an optimized crystal structure of Ba2Ca6Rh.

Results
total magnetic moment: 0.00 μB/f.u.
final energy: -24.48 eV/cell
ΔE_f: -0.142 eV per atom
SG: Fm-3m (225)

a b c (Å): 8.145 8.145 8.146
angles (deg): 59.99 59.99 60.00
Fractional positions:
Ca1 0.257 0.743 0.743
Ca2 0.743 0.257 0.743
Ca3 0.743 0.743 0.257
Ca4 0.257 0.257 0.743
Ca5 0.257 0.743 0.257
Ca6 0.743 0.257 0.257
Ba1 0.250 0.250 0.250
Ba2 0.750 0.750 0.750
Rh1 0.500 0.500 0.500

DFT (GGA-PBE) results for an optimized crystal structure of Ba2Ca2Rh.

Results
total magnetic moment: 0.00 μB/f.u.
final energy: -32.23 eV/cell
ΔE_f: -0.183 eV per atom
SG: C2/m (12)

a b c (Å): 4.482 7.075 16.902
angles (deg): 124.39 97.61 90.01
Fractional positions:
Rh1 0.748 0.280 0.495
Rh2 0.502 0.470 0.005
Ba1 0.678 0.769 0.356
Ba2 0.941 0.488 0.882
Ba3 0.309 0.262 0.618
Ba4 0.572 0.981 0.144
Ca1 0.048 0.421 0.095
Ca2 0.812 0.752 0.624
Ca3 0.438 0.998 0.876
Ca4 0.202 0.329 0.405

DFT (GGA-PBE) results for an optimized crystal structure of BaCa2Rh.

Results
total magnetic moment: 0.00 μB/f.u.
final energy: -13.61 eV/cell
ΔE_f: -0.083 eV per atom
SG: P4mm (99)

a b c (Å): 3.733 3.733 9.859
angles (deg): 90.00 90.00 89.98
Fractional positions:
Ca1 0.500 0.500 0.326
Ca2 0.000 0.000 0.028
Ba1 0.500 0.500 0.672
Rh1 0.000 0.000 0.473

DFT (GGA-PBE) results for an optimized crystal structure of Ba4Ca2Rh.

Results
total magnetic moment: 0.00 μB/f.u.
final energy: -18.70 eV/cell
ΔE_f: 0.050 eV per atom
SG: I4/mmm (139)

a b c (Å): 6.090 6.090 10.974
angles (deg): 106.11 106.11 90.00
Fractional positions:
Ca1 0.644 0.644 0.289
Ca2 0.356 0.356 0.711
Ba1 0.154 0.154 0.308
Ba2 0.500 0.000 0.000
Ba3 0.000 0.500 0.000
Ba4 0.846 0.846 0.692
Rh1 0.000 0.000 0.000

DFT (GGA-PBE) results for an optimized crystal structure of Ba2CaRh2.

Results
total magnetic moment: 0.00 μB/f.u.
final energy: -42.14 eV/cell
ΔE_f: -0.104 eV per atom
SG: P4/mbm (127)

a b c (Å): 7.837 7.837 4.898
angles (deg): 90.00 90.00 90.00
Fractional positions:
Ba1 0.828 0.328 0.500
Ba2 0.672 0.828 0.500
Ba3 0.172 0.672 0.500
Ba4 0.328 0.172 0.500
Rh1 0.117 0.383 0.000
Rh2 0.617 0.117 0.000
Rh3 0.383 0.883 0.000
Rh4 0.883 0.617 0.000
Ca1 0.000 0.000 0.000
Ca2 0.500 0.500 0.000

DFT (GGA-PBE) results for an optimized crystal structure of BaCaRh.

Results
total magnetic moment: 0.00 μB/f.u.
final energy: -9.60 eV/cell
ΔE_f: 0.558 eV per atom
SG: F-43m (216)

a b c (Å): 5.070 5.070 5.070
angles (deg): 60.00 60.00 60.00
Fractional positions:
Ba1 0.750 0.750 0.750
Ca1 0.000 0.000 0.000
Rh1 0.500 0.500 0.500

DFT (GGA-PBE) results for an optimized crystal structure of BaCa2Rh.

Results
total magnetic moment: 0.00 μB/f.u.
final energy: -13.70 eV/cell
ΔE_f: -0.106 eV per atom
SG: R-3m (166)

a b c (Å): 9.852 9.852 9.852
angles (deg): 25.19 25.19 25.19
Fractional positions:
Ca1 0.964 0.964 0.964
Ca2 0.536 0.536 0.536
Ba1 0.750 0.750 0.750
Rh1 0.250 0.250 0.250

DFT (GGA-PBE) results for an optimized crystal structure of Ba2Ca2Rh.

Results
total magnetic moment: 0.00 μB/f.u.
final energy: -30.00 eV/cell
ΔE_f: 0.040 eV per atom
SG: P4/mbm (127)

a b c (Å): 7.563 7.563 6.658
angles (deg): 90.00 90.00 90.00
Fractional positions:
Ca1 0.672 0.172 0.000
Ca2 0.828 0.672 0.000
Ca3 0.328 0.828 0.000
Ca4 0.172 0.328 0.000
Rh1 0.500 0.500 0.000
Rh2 0.000 0.000 0.000
Ba1 0.313 0.187 0.500
Ba2 0.813 0.313 0.500
Ba3 0.187 0.687 0.500
Ba4 0.687 0.813 0.500

DFT (GGA-PBE) results for an optimized crystal structure of BaCa2Rh.

Results
total magnetic moment: 0.00 μB/f.u.
final energy: -13.86 eV/cell
ΔE_f: -0.145 eV per atom
SG: Immm (71)

a b c (Å): 7.088 7.088 7.088
angles (deg): 149.20 130.34 59.58
Fractional positions:
Ca1 0.575 0.575 0.000
Ca2 0.925 0.925 0.000
Ba1 0.250 0.750 0.500
Rh1 0.750 0.250 0.500